1.
La2DyGa3Au4: optimized geometry, PBE-GGA.

Values from the calculation:
total magnetic moment	0.000	μB per atom
E_form	-0.701	eV/atom
total energy	-4.366	eV/atom

a = 4.4575 Å, b = 4.4575 Å, c = 11.5800 Å
α = 90.00°, β = 90.00°, γ = 90.00°
With the nearest neighbours (Å) after each atom.
Fractional positions:
La 0.0000 0.5000 0.2202  4 Ga 3.34, 8 Au 3.39-3.46
La 0.5000 0.0000 0.7798  4 Ga 3.34, 8 Au 3.39-3.46
Dy 0.0000 0.0000 0.5000  4 Au 2.87, 4 Ga 3.15
Ga 0.0000 0.5000 0.8763  5 Au 2.55-2.65
Ga 0.5000 0.0000 0.1237  5 Au 2.55-2.65
Ga 0.5000 0.5000 0.5000  4 Au 2.87, 4 Dy 3.15
Au 0.0000 0.0000 0.0000  4 Ga 2.65
Au 0.0000 0.5000 0.6558  1 Ga 2.55
Au 0.5000 0.0000 0.3442  1 Ga 2.55
Au 0.5000 0.5000 0.0000  4 Ga 2.65

---

2.
Li2DyGa2Au2: optimized geometry, PBE-GGA.

Values from the calculation:
total magnetic moment	0.000	μB per atom
E_form	-0.607	eV/atom
total energy	-3.612	eV/atom

a = 4.5392 Å, b = 4.5392 Å, c = 7.6068 Å
α = 106.62°, β = 106.62°, γ = 59.75°
With the nearest neighbours (Å) after each atom.
Fractional positions:
Li 0.1397 0.1397 0.4252  1 Au 2.56, 3 Li 2.79-2.85, 3 Ga 2.82-2.83
Li 0.8603 0.8603 0.5748  1 Au 2.56, 3 Li 2.79-2.85, 3 Ga 2.82-2.83
Dy 0.0000 0.0000 0.0000  6 Au 3.04-3.05, 2 Li 3.05, 6 Ga 3.28-3.31
Ga 0.4245 0.4245 0.2774  3 Au 2.65, 3 Li 2.82-2.83
Ga 0.5755 0.5755 0.7226  3 Au 2.65, 3 Li 2.82-2.83
Au 0.2619 0.2619 0.7820  1 Li 2.56, 3 Ga 2.65
Au 0.7381 0.7381 0.2180  1 Li 2.56, 3 Ga 2.65

---

What did the second record say?
Li2DyGa2Au2: optimized geometry, PBE-GGA.

Values from the calculation:
total magnetic moment	0.000	μB per atom
E_form	-0.607	eV/atom
total energy	-3.612	eV/atom

a = 4.5392 Å, b = 4.5392 Å, c = 7.6068 Å
α = 106.62°, β = 106.62°, γ = 59.75°
With the nearest neighbours (Å) after each atom.
Fractional positions:
Li 0.1397 0.1397 0.4252  1 Au 2.56, 3 Li 2.79-2.85, 3 Ga 2.82-2.83
Li 0.8603 0.8603 0.5748  1 Au 2.56, 3 Li 2.79-2.85, 3 Ga 2.82-2.83
Dy 0.0000 0.0000 0.0000  6 Au 3.04-3.05, 2 Li 3.05, 6 Ga 3.28-3.31
Ga 0.4245 0.4245 0.2774  3 Au 2.65, 3 Li 2.82-2.83
Ga 0.5755 0.5755 0.7226  3 Au 2.65, 3 Li 2.82-2.83
Au 0.2619 0.2619 0.7820  1 Li 2.56, 3 Ga 2.65
Au 0.7381 0.7381 0.2180  1 Li 2.56, 3 Ga 2.65

---

Which formula does entry 1 have?
La2DyGa3Au4